Crystalline KZr3B at its relaxed geometry, computed with GGA-PBE.

Properties
relative energy among the computed polymorphs: 0.0 meV per atom
DOS at the Fermi energy: 7.0 states/eV/f.u.
calculated volume: 23.2 Å³/atom
total DFT energy (no corrections): -0.2251 Ha/atom

Cell and atoms, written as POSCAR:
```
KZr3B
1.0
4.8797 0.0000 0.0000
0.0000 4.8797 0.0000
0.0000 0.0000 4.8797
Zr B K
3 1 1
Direct
0.0000 0.5000 0.0000 Zr
0.5000 0.0000 0.0000 Zr
0.0000 0.0000 0.5000 Zr
0.0000 0.0000 0.0000 B
0.5000 0.5000 0.5000 K
```